No. 1
RbZrPO | PBE | optimized geometry

Structure (extended XYZ):
```
8
Lattice="4.7282 0.0000 0.0000 0.0000 4.7282 0.0000 0.0000 0.0000 9.5863" Properties=species:S:1:pos:R:3 pbc="T T T"
Rb 1.1820 1.1820 1.2130
Rb 3.5461 3.5461 8.3733
Zr 1.1820 3.5461 4.7931
Zr 3.5461 1.1820 4.7931
P 1.1820 1.1820 5.8214
P 3.5461 3.5461 3.7649
O 1.1820 3.5461 0.0000
O 3.5461 1.1820 0.0000
```

Computed properties:
- E: -5.459 eV/atom
- Symmetry: P4/nmm, No. 129

---

No. 2
HfBNO | PBE | optimized geometry

Structure (extended XYZ):
```
8
Lattice="4.3518 0.0000 0.0000 0.0000 4.3518 0.0000 0.0000 0.0000 4.2554" Properties=species:S:1:pos:R:3 pbc="T T T"
Hf 1.0880 3.2639 0.0000
Hf 3.2639 1.0880 0.0000
B 1.0880 1.0880 2.0653
B 3.2639 3.2639 2.1901
N 1.0880 1.0880 0.6239
N 3.2639 3.2639 3.6316
O 1.0880 3.2639 2.1277
O 3.2639 1.0880 2.1277
```

Computed properties:
- E: -8.355 eV/atom
- Symmetry: P4/nmm, No. 129

---

No. 3
DyHoSi2 | PBE | optimized geometry

Structure (extended XYZ):
```
8
Lattice="5.6856 0.0000 0.0000 0.0000 3.8248 0.0000 -0.0031 0.0000 7.8814" Properties=species:S:1:pos:R:3 pbc="T T T"
Dy 0.6532 0.9562 1.4116
Dy 5.0293 2.8686 6.4698
Ho 2.1868 0.9562 5.3519
Ho 3.4957 2.8686 2.5296
Si 0.7327 2.8686 3.6410
Si 2.1067 2.8686 7.5807
Si 3.5759 0.9562 0.3007
Si 4.9498 0.9562 4.2404
```

Computed properties:
- E: -5.838 eV/atom
- Symmetry: P2_1/m, No. 11

---

No. 4
Nb4FeAsN2 | PBE | optimized geometry

Structure (extended XYZ):
```
8
Lattice="3.1808 0.0000 0.0000 -1.5904 2.7547 0.0000 0.0000 0.0000 12.6607" Properties=species:S:1:pos:R:3 pbc="T T T"
Nb 0.0000 0.0000 1.9408
Nb 0.0000 0.0000 10.7199
Nb 1.5904 0.9182 4.3593
Nb 1.5904 0.9182 8.3014
Fe 0.0000 0.0000 6.3303
As 1.5904 0.9182 0.0000
N 0.0000 1.8364 3.1849
N 0.0000 1.8364 9.4757
```

Computed properties:
- E: -9.261 eV/atom
- Symmetry: P-6m2, No. 187

---

No. 5
Ba2NbCuS6 | PBE | optimized geometry

Structure (extended XYZ):
```
10
Lattice="0.0000 4.8468 4.8468 4.8468 0.0000 4.8468 4.8468 4.8468 0.0000" Properties=species:S:1:pos:R:3 pbc="T T T"
Ba 2.4234 2.4234 2.4234
Ba 7.2703 7.2703 7.2703
Nb 0.0000 0.0000 0.0000
Cu 4.8468 4.8468 4.8468
S 4.8468 4.8468 2.4433
S 4.8468 2.4433 4.8468
S 7.2504 4.8468 4.8468
S 2.4433 4.8468 4.8468
S 4.8468 7.2504 4.8468
S 4.8468 4.8468 7.2504
```

Computed properties:
- E: -5.305 eV/atom
- Symmetry: Fm-3m, No. 225

---

No. 6
Hf4Nb2Cu3N3 | PBE | optimized geometry

Structure (extended XYZ):
```
24
Lattice="4.6878 -2.6924 0.0000 4.6878 2.6924 0.0000 -3.2127 0.0000 13.6201" Properties=species:S:1:pos:R:3 pbc="T T T"
Hf 0.7669 0.4894 1.2038
Hf 0.7745 0.4423 5.6053
Hf -0.8394 -0.4894 8.0138
Hf -0.8319 -0.4423 12.4153
Hf 6.9947 0.4423 1.2048
Hf 7.0023 0.4894 5.6063
Hf 5.3884 -0.4423 8.0149
Hf 5.3959 -0.4894 12.4164
Nb 3.9110 0.4451 1.6346
Nb 3.8582 0.4451 5.1755
Nb 2.3046 -0.4451 8.4446
Nb 2.2519 -0.4451 11.9856
Cu 2.2783 2.3390 10.2151
Cu 0.0433 0.8230 10.2074
Cu 1.6496 -0.8230 3.3973
Cu 4.5132 0.8230 10.2228
Cu 6.1196 -0.8230 3.4128
Cu 3.8846 -2.3390 3.4050
N 2.3439 1.3462 0.0000
N 2.3182 1.3153 6.8073
N 5.4510 1.3153 0.0028
N 0.7375 -1.3462 6.8101
N 0.7118 -1.3153 13.6173
N 3.8447 -1.3153 6.8128
```

Computed properties:
- E: -8.661 eV/atom
- Symmetry: C2/c, No. 15

---

No. 7
Nd2Ge2O7 | PBE | optimized geometry

Structure (extended XYZ):
```
44
Lattice="6.9409 0.0000 0.0000 -0.1605 6.9716 0.0000 -0.1241 -0.8576 12.5420" Properties=species:S:1:pos:R:3 pbc="T T T"
Nd 0.2856 2.1962 1.4536
Nd 0.7602 0.2666 4.5293
Nd 2.1015 5.6898 1.3920
Nd 2.4512 1.1306 7.8672
Nd 4.2051 4.9834 4.6748
Nd 4.5548 0.4242 11.1500
Nd 5.8960 5.8475 8.0128
Nd 6.3707 3.9178 11.0884
Ge 0.8535 3.9721 4.8185
Ge 0.9922 0.2790 11.0733
Ge 2.4233 4.6163 7.5325
Ge 3.1770 3.9725 10.4417
Ge 3.4792 2.1415 2.1003
Ge 4.2329 1.4977 5.0096
Ge 5.6640 5.8351 1.4687
Ge 5.8028 2.1419 7.7235
O -0.1012 4.5510 1.0196
O 0.0238 -0.0699 2.3076
O 0.1535 1.0988 7.1028
O 0.3625 2.5655 3.9221
O 1.3163 5.9057 7.8041
O 1.7083 0.6837 0.1194
O 1.8497 5.1628 3.9397
O 1.8121 4.2560 11.4850
O 1.9403 3.4846 6.1933
O 2.3466 3.3247 1.5097
O 2.3629 0.7859 10.1399
O 2.5606 0.7619 2.7110
O 2.5193 3.3666 8.8055
O 2.7781 0.7285 5.5898
O 3.8782 5.3855 6.9522
O 4.1369 2.7474 3.7366
O 4.0957 5.3521 9.8311
O 4.2933 5.3281 2.4022
O 4.3097 2.7893 11.0323
O 4.7160 2.6294 6.3487
O 4.8441 1.8580 1.0571
O 4.8065 0.9512 8.6023
O 4.9479 5.4303 12.4226
O 5.3400 0.2084 4.7380
O 6.2938 3.5485 8.6200
O 6.5027 5.0152 5.4393
O 6.6324 6.1839 10.2344
O 6.7575 1.5630 11.5225
```

Computed properties:
- E: -7.397 eV/atom
- Symmetry: P-1, No. 2

---

No. 8
BPdPt2 | PBE | optimized geometry

Structure (extended XYZ):
```
4
Lattice="0.0000 3.0339 3.0339 3.0339 0.0000 3.0339 3.0339 3.0339 0.0000" Properties=species:S:1:pos:R:3 pbc="T T T"
B 0.0000 0.0000 0.0000
Pd 1.5169 1.5169 1.5169
Pt 3.0339 3.0339 3.0339
Pt 4.5508 4.5508 4.5508
```

Computed properties:
- E: -5.442 eV/atom
- Symmetry: F-43m, No. 216

---

Repeat the fifth record exactly.
Ba2NbCuS6 | PBE | optimized geometry

Structure (extended XYZ):
```
10
Lattice="0.0000 4.8468 4.8468 4.8468 0.0000 4.8468 4.8468 4.8468 0.0000" Properties=species:S:1:pos:R:3 pbc="T T T"
Ba 2.4234 2.4234 2.4234
Ba 7.2703 7.2703 7.2703
Nb 0.0000 0.0000 0.0000
Cu 4.8468 4.8468 4.8468
S 4.8468 4.8468 2.4433
S 4.8468 2.4433 4.8468
S 7.2504 4.8468 4.8468
S 2.4433 4.8468 4.8468
S 4.8468 7.2504 4.8468
S 4.8468 4.8468 7.2504
```

Computed properties:
- E: -5.305 eV/atom
- Symmetry: Fm-3m, No. 225

---

- E of number 3 (DyHoSi2)?
  -5.838 eV/atom